DFT (PBE) results for a geometry-optimized Pa2CdAgO8 structure.

Summary:
Formation energy (no corrections), eV/f.u.: -25.0
Final energy, eV/cell: -87.42

Lattice parameters (Å, degrees): 5.414 5.414 6.614 114.16 114.16 90.00
Atoms (fractional coordinates):
O1 0.611 0.124 0.751
O2 0.611 0.627 0.752
O3 0.876 0.389 0.248
O4 0.373 0.389 0.249
Pa1 0.500 0.500 0.000
O5 0.140 0.627 0.751
Cd1 0.750 0.250 0.500
Ag1 0.000 0.000 0.000
O6 0.876 0.860 0.249
O7 0.141 0.124 0.752
Pa2 0.250 0.750 0.500
O8 0.373 0.859 0.248